1.
## Tb3NdY (GGA-PBE)

Data for a geometry-optimized Tb3NdY structure.

Summary:
* relative energy among the computed polymorphs: 0 meV/atom
* density of states at the Fermi level: 1.737 states/eV/atom
* total DFT energy (no corrections): -5.008 eV per atom
* energy relative to the elements: 0.017 eV per atom

abc: 6.3343 5.7275 9.6667
angles: 90.00 109.08 90.00
Positions (direct):
Tb  0.1325  0.2500  0.0988
Tb  0.2668  0.7500  0.7003
Tb  0.3360  0.2500  0.4995
Tb  0.6640  0.7500  0.5005
Tb  0.7332  0.2500  0.2997
Tb  0.8675  0.7500  0.9012
Nd  0.0668  0.7500  0.3001
Nd  0.9332  0.2500  0.6999
Y  0.4665  0.7500  0.0996
Y  0.5335  0.2500  0.9004


2.
## Tb2Nd2Y5 (GGA-PBE)

Data for a geometry-optimized Tb2Nd2Y5 structure.

Summary:
* relative energy among the computed polymorphs: 21 meV/atom
* density of states at the Fermi level: 1.544 states/eV/atom
* total DFT energy (no corrections): -5.437 eV per atom
* energy relative to the elements: 0.243 eV per atom

abc: 11.0323 11.0323 8.3174
angles: 100.16 100.16 18.32
Positions (direct):
Tb  0.0464  0.0464  0.3567
Tb  0.9536  0.9536  0.6433
Nd  0.3181  0.3181  0.8550
Nd  0.6819  0.6819  0.1450
Y  0.1902  0.1902  0.5284
Y  0.4030  0.4030  0.2639
Y  0.5000  0.5000  0.0000
Y  0.5970  0.5970  0.7361
Y  0.8098  0.8098  0.4716


3.
## TbNd4Y3 (GGA-PBE)

Data for a geometry-optimized TbNd4Y3 structure.

Summary:
* relative energy among the computed polymorphs: 141 meV/atom
* density of states at the Fermi level: 1.805 states/eV/atom
* total DFT energy (no corrections): -5.222 eV per atom
* energy relative to the elements: 0.165 eV per atom

abc: 12.0312 12.0312 6.8660
angles: 106.20 106.20 16.71
Positions (direct):
Tb  0.0000  0.0000  0.0000
Nd  0.2405  0.2405  0.2374
Nd  0.3764  0.3764  0.6314
Nd  0.6236  0.6236  0.3686
Nd  0.7595  0.7595  0.7625
Y  0.3770  0.3770  0.1190
Y  0.5000  0.5000  0.5000
Y  0.6230  0.6230  0.8810


4.
## TbNdY (GGA-PBE)

Data for a geometry-optimized TbNdY structure.

Summary:
* relative energy among the computed polymorphs: 201 meV/atom
* density of states at the Fermi level: 1.414 states/eV/atom
* total DFT energy (no corrections): -5.078 eV per atom
* energy relative to the elements: 0.210 eV per atom

abc: 4.8756 4.8756 8.7457
angles: 90.00 90.00 90.00
Positions (direct):
Tb  0.2500  0.7500  0.0000
Tb  0.7500  0.2500  0.0000
Nd  0.2500  0.2500  0.2997
Nd  0.7500  0.7500  0.7003
Y  0.2500  0.2500  0.6976
Y  0.7500  0.7500  0.3024


5.
## Tb7NdY3 (GGA-PBE)

Data for a geometry-optimized Tb7NdY3 structure.

Summary:
* relative energy among the computed polymorphs: 0 meV/atom
* density of states at the Fermi level: 1.531 states/eV/atom
* total DFT energy (no corrections): -4.999 eV per atom
* energy relative to the elements: 0.143 eV per atom

abc: 7.0251 5.5833 9.9332
angles: 90.00 110.36 90.00
Positions (direct):
Tb  0.0000  0.0000  0.0000
Tb  0.1456  0.5000  0.2917
Tb  0.3254  0.5000  0.6431
Tb  0.4189  0.0000  0.8314
Tb  0.5811  0.0000  0.1686
Tb  0.6746  0.5000  0.3569
Tb  0.8544  0.5000  0.7083
Nd  0.0000  0.0000  0.5000
Y  0.2779  0.5000  0.9991
Y  0.5000  0.0000  0.5000
Y  0.7221  0.5000  0.0009


6.
## Tb2Nd6Y (GGA-PBE)

Data for a geometry-optimized Tb2Nd6Y structure.

Summary:
* relative energy among the computed polymorphs: 46 meV/atom
* density of states at the Fermi level: 1.418 states/eV/atom
* total DFT energy (no corrections): -4.799 eV per atom
* energy relative to the elements: 0.127 eV per atom

abc: 10.0931 10.0931 3.6763
angles: 90.00 90.00 124.07
Positions (direct):
Tb  0.1776  0.8224  0.0000
Tb  0.8224  0.1776  0.0000
Nd  0.1592  0.4889  0.5000
Nd  0.3173  0.3173  0.0000
Nd  0.4889  0.1592  0.5000
Nd  0.5111  0.8408  0.5000
Nd  0.6827  0.6827  0.0000
Nd  0.8408  0.5111  0.5000
Y  0.0000  0.0000  0.5000


7.
## Tb3Nd3Y5 (GGA-PBE)

Data for a geometry-optimized Tb3Nd3Y5 structure.

Summary:
* relative energy among the computed polymorphs: 782 meV/atom
* density of states at the Fermi level: 1.516 states/eV/atom
* total DFT energy (no corrections): -4.701 eV per atom
* energy relative to the elements: 0.800 eV per atom

abc: 9.7103 9.7103 5.4605
angles: 90.00 90.00 120.00
Positions (direct):
Tb  0.0000  0.5376  0.0000
Tb  0.4624  0.4624  0.0000
Tb  0.5376  0.0000  0.0000
Nd  0.0000  0.3685  0.5000
Nd  0.3685  0.0000  0.5000
Nd  0.6315  0.6315  0.5000
Y  0.0000  0.7378  0.5000
Y  0.2622  0.2622  0.5000
Y  0.3333  0.6667  0.5000
Y  0.6667  0.3333  0.5000
Y  0.7378  0.0000  0.5000


8.
## Tb3Nd4Y5 (GGA-PBE)

Data for a geometry-optimized Tb3Nd4Y5 structure.

Summary:
* relative energy among the computed polymorphs: 204 meV/atom
* density of states at the Fermi level: 1.654 states/eV/atom
* total DFT energy (no corrections): -5.221 eV per atom
* energy relative to the elements: 0.219 eV per atom

abc: 8.6550 8.6550 9.4150
angles: 114.80 114.80 40.31
Positions (direct):
Tb  0.0000  0.0000  0.0000
Tb  0.2886  0.2886  0.7650
Tb  0.7114  0.7114  0.2350
Nd  0.2837  0.2837  0.1169
Nd  0.4155  0.4155  0.5529
Nd  0.5845  0.5845  0.4471
Nd  0.7163  0.7163  0.8831
Y  0.0718  0.0718  0.7030
Y  0.1708  0.1708  0.3846
Y  0.5000  0.5000  0.0000
Y  0.8292  0.8292  0.6154
Y  0.9282  0.9282  0.2970


9.
## Tb12NdY7 (GGA-PBE)

Data for a geometry-optimized Tb12NdY7 structure.

Summary:
* relative energy among the computed polymorphs: 463 meV/atom
* density of states at the Fermi level: 1.257 states/eV/atom
* total DFT energy (no corrections): -4.570 eV per atom
* energy relative to the elements: 0.709 eV per atom

abc: 9.7996 9.7996 9.7996
angles: 109.47 109.47 109.47
Positions (direct):
Tb  0.0009  0.7465  0.2544
Tb  0.2535  0.2544  0.5078
Tb  0.2535  0.7456  0.9991
Tb  0.2544  0.0009  0.7465
Tb  0.2544  0.5078  0.2535
Tb  0.4922  0.7465  0.7456
Tb  0.5078  0.2535  0.2544
Tb  0.7456  0.4922  0.7465
Tb  0.7456  0.9991  0.2535
Tb  0.7465  0.2544  0.0009
Tb  0.7465  0.7456  0.4922
Tb  0.9991  0.2535  0.7456
Nd  0.0000  0.0000  0.0000
Y  0.0000  0.0000  0.5000
Y  0.0000  0.5000  0.0000
Y  0.0000  0.5000  0.5000
Y  0.5000  0.0000  0.0000
Y  0.5000  0.0000  0.5000
Y  0.5000  0.5000  0.0000
Y  0.5000  0.5000  0.5000


10.
## Tb6Nd12Y (GGA-PBE)

Data for a geometry-optimized Tb6Nd12Y structure.

Summary:
* relative energy among the computed polymorphs: 98 meV/atom
* density of states at the Fermi level: 1.581 states/eV/atom
* total DFT energy (no corrections): -4.582 eV per atom
* energy relative to the elements: 0.231 eV per atom

abc: 9.2985 9.2985 9.2985
angles: 106.74 106.74 106.74
Positions (direct):
Tb  0.0481  0.4208  0.3088
Tb  0.3088  0.0481  0.4208
Tb  0.4208  0.3088  0.0481
Tb  0.5792  0.6912  0.9519
Tb  0.6912  0.9519  0.5792
Tb  0.9519  0.5792  0.6912
Nd  0.0153  0.3079  0.9180
Nd  0.0820  0.9847  0.6921
Nd  0.2198  0.3695  0.6757
Nd  0.3079  0.9180  0.0153
Nd  0.3243  0.7802  0.6305
Nd  0.3695  0.6757  0.2198
Nd  0.6305  0.3243  0.7802
Nd  0.6757  0.2198  0.3695
Nd  0.6921  0.0820  0.9847
Nd  0.7802  0.6305  0.3243
Nd  0.9180  0.0153  0.3079
Nd  0.9847  0.6921  0.0820
Y  0.5000  0.5000  0.5000


11.
## Tb3Nd6Y (GGA-PBE)

Data for a geometry-optimized Tb3Nd6Y structure.

Summary:
* density of states at the Fermi level: 1.430 states/eV/atom
* total DFT energy (no corrections): -4.755 eV per atom
* energy relative to the elements: 0.141 eV per atom

abc: 11.1355 11.1355 6.4644
angles: 90.00 90.00 121.22
Positions (direct):
Tb  0.1141  0.8859  0.5000
Tb  0.2142  0.4457  0.1128
Tb  0.4457  0.2142  0.6128
Tb  0.5543  0.7858  0.1128
Tb  0.7858  0.5543  0.6128
Tb  0.8859  0.1141  0.0000
Nd  0.0163  0.4391  0.7291
Nd  0.1286  0.2150  0.5343
Nd  0.2150  0.1286  0.0343
Nd  0.2186  0.7814  0.9294
Nd  0.4391  0.0163  0.2291
Nd  0.4685  0.5315  0.7141
Nd  0.5315  0.4685  0.2141
Nd  0.5609  0.9837  0.7291
Nd  0.7814  0.2186  0.4294
Nd  0.7850  0.8714  0.5343
Nd  0.8714  0.7850  0.0343
Nd  0.9837  0.5609  0.2291
Y  0.3107  0.6893  0.4830
Y  0.6893  0.3107  0.9830


12.
## Tb9NdY2 (GGA-PBE)

Data for a geometry-optimized Tb9NdY2 structure.

Summary:
* relative energy among the computed polymorphs: 0 meV/atom
* density of states at the Fermi level: 1.575 states/eV/atom
* total DFT energy (no corrections): -4.927 eV per atom
* energy relative to the elements: 0.021 eV per atom

abc: 5.0542 5.0542 15.1629
angles: 90.00 90.00 90.00
Positions (direct):
Tb  0.0000  0.0000  0.0000
Tb  0.0000  0.0000  0.3344
Tb  0.0000  0.0000  0.6656
Tb  0.0000  0.5000  0.1679
Tb  0.0000  0.5000  0.5000
Tb  0.0000  0.5000  0.8321
Tb  0.5000  0.0000  0.1679
Tb  0.5000  0.0000  0.5000
Tb  0.5000  0.0000  0.8321
Nd  0.5000  0.5000  0.0000
Y  0.5000  0.5000  0.3340
Y  0.5000  0.5000  0.6660


> density of states at the Fermi level of number 5 (Tb7NdY3)?

1.531 states/eV/atom


> Among the records above, which one has the highest density of states at the Fermi level?

TbNd4Y3